This record from Alexandria via LeMat-Bulk describes a relaxed SmEr2Bi crystal. The functional is PBE.

Cell lengths 12.155, 12.155, 12.155 Å; angles 16.78, 16.78, 16.78 degrees
Element x y z (fractional)
Sm 0.000 0.000 0.000
Er 0.413 0.413 0.413
Er 0.587 0.587 0.587
Bi 0.500 0.500 0.500

Values from the calculation:
As for the calculated volume: 32.63 A^3/atom. The energy above the most stable polymorph in this dataset is 481 meV per atom. The crystal system is trigonal. For the formation enthalpy at 0 K, the calculation gives 0.032 eV/atom.



This record from Alexandria via LeMat-Bulk describes a relaxed MnPtS2 crystal. The functional is PBE.

Cell lengths 7.295, 7.295, 7.295 Å; angles 28.73, 28.73, 28.73 degrees
Element x y z (fractional)
Mn 0.000 0.000 0.000
Pt 0.500 0.500 0.500
S 0.107 0.107 0.107
S 0.893 0.893 0.893

Values from the calculation:
As for the calculated volume: 19.83 A^3/atom. The energy above the most stable polymorph in this dataset is 374 meV per atom. The calculation puts the energy relative to the elements, uncorrected at -0.009 eV/atom. The crystal system is trigonal.



This record from Alexandria via LeMat-Bulk describes a relaxed SmScOs crystal. The functional is PBE.

Cell lengths 7.369, 7.369, 4.261 Å; angles 90.00, 90.00, 120.00 degrees
Element x y z (fractional)
Sm 0.000 0.585 0.000
Sm 0.415 0.415 0.000
Sm 0.585 0.000 0.000
Sc 0.000 0.249 0.500
Sc 0.249 0.000 0.500
Sc 0.751 0.751 0.500
Os 0.000 0.000 0.000
Os 0.333 0.667 0.500
Os 0.667 0.333 0.500

Values from the calculation:
As for the calculated volume: 22.26 A^3/atom. The energy above the most stable polymorph in this dataset is 0 meV per atom. The crystal system is hexagonal. For the formation enthalpy at 0 K, the calculation gives -0.280 eV/atom.



This record from Alexandria via LeMat-Bulk describes a relaxed OsRuO5 crystal. The functional is PBE.

Cell lengths 6.022, 6.022, 6.765 Å; angles 95.11, 95.11, 125.76 degrees
Element x y z (fractional)
Os 0.000 0.000 0.000
Os 0.000 0.000 0.500
Ru 0.445 0.555 0.750
Ru 0.555 0.445 0.250
O 0.071 0.344 0.628
O 0.080 0.920 0.750
O 0.262 0.398 0.003
O 0.344 0.071 0.128
O 0.398 0.262 0.503
O 0.602 0.738 0.497
O 0.656 0.929 0.872
O 0.738 0.602 0.997
O 0.920 0.080 0.250
O 0.929 0.656 0.372

Values from the calculation:
As for the calculated volume: 13.94 A^3/atom. The calculation puts the energy relative to the elements, uncorrected at -0.657 eV/atom. The crystal system is monoclinic.



This record from Alexandria via LeMat-Bulk describes a relaxed NdEuGePt crystal. The functional is PBE.

Cell lengths 5.170, 5.170, 5.170 Å; angles 60.00, 60.00, 60.00 degrees
Element x y z (fractional)
Nd 0.000 0.000 0.000
Eu 0.500 0.500 0.500
Ge 0.250 0.250 0.250
Pt 0.750 0.750 0.750

Values from the calculation:
As for the calculated volume: 24.42 A^3/atom. The crystal system is cubic. For the formation enthalpy at 0 K, the calculation gives -0.764 eV/atom.



This record from Alexandria via LeMat-Bulk describes a relaxed SrReSb crystal. The functional is PBE.

Cell lengths 5.173, 5.173, 5.173 Å; angles 60.00, 60.00, 60.00 degrees
Element x y z (fractional)
Sr 0.000 0.000 0.000
Re 0.250 0.250 0.250
Sb 0.750 0.750 0.750

Values from the calculation:
As for the calculated volume: 32.62 A^3/atom. The energy above the most stable polymorph in this dataset is 1346 meV per atom. The calculation puts the energy relative to the elements, uncorrected at 1.579 eV/atom. The crystal system is cubic.



This record from Alexandria via LeMat-Bulk describes a relaxed AlIn2H2 crystal. The functional is PBE.

Cell lengths 7.221, 7.221, 7.221 Å; angles 152.54, 152.54, 39.23 degrees
Element x y z (fractional)
Al 0.000 0.000 0.000
In 0.356 0.356 0.000
In 0.644 0.644 0.000
H 0.250 0.750 0.500
H 0.750 0.250 0.500

Values from the calculation:
As for the calculated volume: 15.99 A^3/atom. The crystal system is tetragonal. As for the total energy: -2.80 eV/atom.



This record from Alexandria via LeMat-Bulk describes a relaxed Sr2GeF crystal. The functional is PBE.

Cell lengths 6.420, 6.291, 12.070 Å; angles 90.00, 115.69, 90.00 degrees
Element x y z (fractional)
Sr 0.016 0.237 0.092
Sr 0.016 0.763 0.592
Sr 0.332 0.232 0.858
Sr 0.332 0.768 0.358
Sr 0.668 0.232 0.642
Sr 0.668 0.768 0.142
Sr 0.984 0.237 0.408
Sr 0.984 0.763 0.908
Ge 0.463 0.279 0.352
Ge 0.463 0.721 0.852
Ge 0.537 0.279 0.148
Ge 0.537 0.721 0.648
F 0.040 0.159 0.630
F 0.040 0.841 0.130
F 0.960 0.159 0.870
F 0.960 0.841 0.370

Values from the calculation:
As for the calculated volume: 27.46 A^3/atom. The energy above the most stable polymorph in this dataset is 0 meV per atom. The calculation puts the energy relative to the elements, uncorrected at -1.677 eV/atom. The crystal system is monoclinic.



This record from Alexandria via LeMat-Bulk describes a relaxed Pa2ReSn crystal. The functional is PBE.

Cell lengths 3.233, 3.233, 8.758 Å; angles 90.00, 90.00, 90.00 degrees
Element x y z (fractional)
Pa 0.000 0.000 0.213
Pa 0.000 0.000 0.787
Re 0.500 0.500 0.000
Sn 0.500 0.500 0.500

Values from the calculation:
As for the calculated volume: 22.88 A^3/atom. The energy above the most stable polymorph in this dataset is 0 meV per atom. The crystal system is tetragonal. For the formation enthalpy at 0 K, the calculation gives -0.242 eV/atom.



This record from Alexandria via LeMat-Bulk describes a relaxed Ca2ZrZn crystal. The functional is PBE.

Cell lengths 5.967, 5.967, 5.967 Å; angles 135.19, 135.19, 65.24 degrees
Element x y z (fractional)
Ca 0.250 0.750 0.500
Ca 0.750 0.250 0.500
Zr 0.000 0.000 0.000
Zn 0.500 0.500 0.000

Values from the calculation:
As for the calculated volume: 26.00 A^3/atom. The crystal system is tetragonal. For the formation enthalpy at 0 K, the calculation gives 0.300 eV/atom.



This record from Alexandria via LeMat-Bulk describes a relaxed Ba3CrAg crystal. The functional is PBE.

Cell lengths 6.391, 6.391, 6.391 Å; angles 90.00, 90.00, 90.00 degrees
Element x y z (fractional)
Ba 0.000 0.000 0.500
Ba 0.000 0.500 0.000
Ba 0.500 0.000 0.000
Cr 0.500 0.500 0.500
Ag 0.000 0.000 0.000

Values from the calculation:
As for the calculated volume: 52.22 A^3/atom. The energy above the most stable polymorph in this dataset is 0 meV per atom. The crystal system is cubic. For the formation enthalpy at 0 K, the calculation gives 0.454 eV/atom.



This record from Alexandria via LeMat-Bulk describes a relaxed CuAg2Te4 crystal. The functional is PBE.

Cell lengths 8.826, 8.826, 8.826 Å; angles 137.79, 121.09, 75.11 degrees
Element x y z (fractional)
Cu 0.500 0.000 0.000
Cu 0.500 0.500 0.500
Ag 0.000 0.000 0.000
Ag 0.106 0.356 0.750
Ag 0.500 0.000 0.500
Ag 0.894 0.644 0.250
Te 0.228 0.228 0.000
Te 0.272 0.772 0.500
Te 0.285 0.306 0.522
Te 0.285 0.763 0.978
Te 0.715 0.237 0.022
Te 0.715 0.694 0.478
Te 0.728 0.228 0.500
Te 0.772 0.772 0.000

Values from the calculation:
As for the calculated volume: 27.58 A^3/atom. The calculation puts the energy relative to the elements, uncorrected at 0.079 eV/atom. The crystal system is orthorhombic.



- Which value of calculated volume does entry 4 give?
  13.94 A^3/atom



Repeat the sixth record exactly.
This record from Alexandria via LeMat-Bulk describes a relaxed SrReSb crystal. The functional is PBE.

Cell lengths 5.173, 5.173, 5.173 Å; angles 60.00, 60.00, 60.00 degrees
Element x y z (fractional)
Sr 0.000 0.000 0.000
Re 0.250 0.250 0.250
Sb 0.750 0.750 0.750

Values from the calculation:
As for the calculated volume: 32.62 A^3/atom. The energy above the most stable polymorph in this dataset is 1346 meV per atom. The calculation puts the energy relative to the elements, uncorrected at 1.579 eV/atom. The crystal system is cubic.